The following is a PBE calculation of a relaxed structure of MgGa2Ag5, from the Alexandria database.

a b c (Å): 7.134 7.134 7.575
angles (deg): 118.09 118.09 90.00
Positions (direct):
Mg (0.250, 0.250, 0.500)
Ga (0.147, 0.353, 0.000)
Ga (0.853, 0.647, 0.000)
Ag (0.991, 0.491, 0.682)
Ag (0.491, 0.691, 0.682)
Ag (0.009, 0.509, 0.318)
Ag (0.500, 0.500, 0.000)
Ag (0.309, 0.809, 0.318)
Ag (0.191, 0.991, 0.682)
Ag (0.691, 0.191, 0.682)
Ag (0.509, 0.309, 0.318)
Ag (0.000, 0.000, 0.000)
Mg (0.750, 0.750, 0.500)
Ga (0.353, 0.853, 0.000)
Ga (0.647, 0.147, 0.000)
Ag (0.809, 0.009, 0.318)

Properties
- Fermi-level density of states: 0.3401 states/eV per atom
- Formation energy: -0.01 eV/atom
- Crystal system: tetragonal
- Size of the total moment: 0.000 μB/atom
- Relative energy among the computed polymorphs: 19 meV per atom